The following is a PBE calculation of a geometry-optimized Tb2CeRu2 structure, from the Alexandria database.

Cell: 5.8776 5.8776 7.8895 Å, 100.07 100.07 59.82°
Positions (direct):
1 Tb 0.0244 0.2813 0.1515
2 Tb 0.2813 0.0244 0.6515
3 Tb 0.7187 0.9756 0.3485
4 Tb 0.9756 0.7187 0.8485
5 Ce 0.3702 0.6298 0.2500
6 Ce 0.6298 0.3702 0.7500
7 Ru 0.2297 0.5024 0.4867
8 Ru 0.4976 0.7703 0.0133
9 Ru 0.5024 0.2297 0.9867
10 Ru 0.7703 0.4976 0.5133

Values from the calculation:
The spin magnetization is 0.0 Bohr magnetons per cell. The value obtained for the formation energy is -0.394 eV per atom.


The following is a PBE calculation of a geometry-optimized CaAc3B2N6 structure, from the Alexandria database.

Cell: 5.7856 5.7856 6.5861 Å, 90.00 90.00 120.00°
Positions (direct):
1 Ca 0.0000 0.0000 0.0000
2 Ac 0.0000 0.0000 0.5000
3 Ac 0.3333 0.6667 0.1664
4 Ac 0.6667 0.3333 0.8336
5 B 0.3333 0.6667 0.7516
6 B 0.6667 0.3333 0.2484
7 N 0.1880 0.3760 0.7756
8 N 0.1880 0.8120 0.7756
9 N 0.3760 0.1880 0.2244
10 N 0.6240 0.8120 0.7756
11 N 0.8120 0.1880 0.2244
12 N 0.8120 0.6240 0.2244

Values from the calculation:
The formation energy from raw total energies is -1.03 eV/atom. The spin magnetization is 0.0 Bohr magnetons per cell.